TaTcWO2 | PBE with a Hubbard U | optimized geometry

Structure (POSCAR):
```
TaTcWO2
1.0
-1.275 -3.488 1.020
5.438 -1.839 0.507
0.019 1.075 3.698
Tc O W Ta
1 2 1 1
Cartesian
2.719 -0.919 0.254
-0.637 -1.744 0.510
0.009 0.538 1.849
2.091 -2.126 2.613
0.000 0.000 0.000
```

Summary:
Symmetry   P4/mmm
N(E_F)   3.4 states/eV/f.u.
Energy   -0.30191 Ha/atom